Entry from Alexandria: a relaxed structure of KCu2Mo (PBE).

Geometry as POSCAR:
```
KCu2Mo
1.0
8.644 0.000 0.000
0.000 2.632 0.000
-0.534 0.000 7.158
K Cu Mo
2 4 2
direct
0.000 0.000 0.000
0.500 0.500 0.000
0.242 0.000 0.656
0.258 0.500 0.344
0.742 0.500 0.656
0.758 0.000 0.344
0.000 0.500 0.500
0.500 0.000 0.500
```

Calculated values
**D(E_F)**: 2.4 states/eV/f.u.
**Polymorph energy (0 for the lowest one)**: 128 meV/atom
**Total magnetic moment**: 0.000 μB per atom



Entry from Alexandria: a relaxed structure of DyTlIrO6 (PBE).

Geometry as POSCAR:
```
DyTlIrO6
1.0
5.584 0.000 0.000
-2.792 4.836 0.000
0.000 0.000 9.199
Dy Tl Ir O
2 2 2 12
direct
0.333 0.667 0.250
0.667 0.333 0.750
0.000 0.000 0.000
0.000 0.000 0.500
0.333 0.667 0.750
0.667 0.333 0.250
0.040 0.382 0.631
0.040 0.658 0.869
0.342 0.382 0.869
0.342 0.960 0.631
0.382 0.040 0.131
0.382 0.342 0.369
0.618 0.658 0.631
0.618 0.960 0.869
0.658 0.040 0.369
0.658 0.618 0.131
0.960 0.342 0.131
0.960 0.618 0.369
```

Calculated values
**D(E_F)**: 4.9 states/eV/f.u.
**E_tot**: -115.622 eV for the cell shown
**Total magnetic moment**: 0.187 μB per atom



Entry from Alexandria: a relaxed structure of Pu8IrPt5 (PBE).

Geometry as POSCAR:
```
Pu8IrPt5
1.0
-4.326 4.326 4.350
4.326 -4.326 4.350
4.326 4.326 -4.350
Pu Ir Pt
8 1 5
direct
0.020 0.626 0.746
0.230 0.488 0.113
0.374 0.120 0.393
0.375 0.117 0.887
0.512 0.625 0.742
0.727 0.980 0.607
0.880 0.273 0.254
0.883 0.770 0.258
0.250 0.750 0.500
0.000 0.000 0.000
0.124 0.251 0.630
0.506 0.876 0.126
0.621 0.494 0.370
0.749 0.379 0.874
```

Calculated values
**D(E_F)**: 62.0 states/eV/f.u.
**E_tot**: -162.922 eV for the cell shown
**Total magnetic moment**: 3.141 μB per atom



Entry from Alexandria: a relaxed structure of BaNiPd (PBE).

Geometry as POSCAR:
```
BaNiPd
1.0
4.294 0.000 0.000
-2.147 3.718 0.000
0.000 0.000 4.634
Ba Ni Pd
1 1 1
direct
0.000 0.000 0.000
0.333 0.667 0.500
0.667 0.333 0.500
```

Calculated values
**D(E_F)**: 3.1 states/eV/f.u.
**E_tot**: -13.498 eV for the cell shown
**Total magnetic moment**: 0.000 μB per atom



Entry from Alexandria: a relaxed structure of Ca2BeRu (PBE).

Geometry as POSCAR:
```
Ca2BeRu
1.0
3.506 0.000 0.000
0.000 4.702 0.000
0.000 0.000 10.276
Ca Be Ru
4 2 2
direct
0.000 0.000 0.000
0.000 0.500 0.215
0.500 0.000 0.715
0.500 0.500 0.500
0.000 0.500 0.783
0.500 0.000 0.283
0.000 0.000 0.411
0.500 0.500 0.911
```

Calculated values
**D(E_F)**: 1.6 states/eV/f.u.
**E_tot**: -33.222 eV for the cell shown
**Total magnetic moment**: 0.000 μB per atom



Entry from Alexandria: a relaxed structure of LaThAg (PBE).

Geometry as POSCAR:
```
LaThAg
1.0
5.178 0.000 0.000
-2.589 4.484 0.000
0.000 0.000 3.637
La Th Ag
1 1 1
direct
0.000 0.000 0.000
0.333 0.667 0.632
0.667 0.333 0.363
```

Calculated values
**D(E_F)**: 2.5 states/eV/f.u.
**Polymorph energy (0 for the lowest one)**: 165 meV/atom
**Total magnetic moment**: 0.000 μB per atom



Entry from Alexandria: a relaxed structure of KIr2W (PBE).

Geometry as POSCAR:
```
KIr2W
1.0
5.071 0.000 0.000
0.000 5.071 0.000
0.000 0.000 2.735
K Ir W
1 2 1
direct
0.000 0.000 0.000
0.000 0.500 0.500
0.500 0.000 0.500
0.500 0.500 0.000
```

Calculated values
**D(E_F)**: 6.3 states/eV/f.u.
**Polymorph energy (0 for the lowest one)**: 724 meV/atom
**Total magnetic moment**: 0.000 μB per atom



Entry from Alexandria: a relaxed structure of Cu2Ni2Au (PBE).

Geometry as POSCAR:
```
Cu2Ni2Au
1.0
3.420 0.000 0.000
0.000 3.420 0.000
0.000 0.000 11.684
Cu Ni Au
4 4 2
direct
0.000 0.500 0.250
0.000 0.500 0.750
0.500 0.000 0.250
0.500 0.000 0.750
0.000 0.000 0.101
0.000 0.000 0.899
0.500 0.500 0.399
0.500 0.500 0.601
0.000 0.000 0.500
0.500 0.500 0.000
```

Calculated values
**D(E_F)**: 2.8 states/eV/f.u.
**Polymorph energy (0 for the lowest one)**: 165 meV/atom
**Total magnetic moment**: 0.000 μB per atom



Entry from Alexandria: a relaxed structure of Tb3Pr5Ho3 (PBE).

Geometry as POSCAR:
```
Tb3Pr5Ho3
1.0
11.280 0.000 0.000
-5.640 9.769 0.000
0.000 0.000 3.494
Tb Pr Ho
3 5 3
direct
0.000 0.406 0.000
0.406 0.000 0.000
0.594 0.594 0.000
0.000 0.163 0.500
0.163 0.000 0.500
0.333 0.667 0.500
0.667 0.333 0.500
0.837 0.837 0.500
0.000 0.658 0.500
0.342 0.342 0.500
0.658 0.000 0.500
```

Calculated values
**D(E_F)**: 19.3 states/eV/f.u.
**E_tot**: -47.835 eV for the cell shown
**Total magnetic moment**: 0.006 μB per atom



Entry from Alexandria: a relaxed structure of AcPdRu (PBE).

Geometry as POSCAR:
```
AcPdRu
1.0
5.181 0.000 0.000
0.000 5.192 0.000
0.000 0.000 9.774
Ac Pd Ru
4 4 4
direct
0.000 0.000 0.188
0.000 0.000 0.812
0.500 0.500 0.188
0.500 0.500 0.812
0.000 0.500 0.365
0.000 0.500 0.635
0.500 0.000 0.365
0.500 0.000 0.635
0.000 0.000 0.500
0.000 0.500 0.000
0.500 0.000 0.000
0.500 0.500 0.500
```

Calculated values
**D(E_F)**: 3.4 states/eV/f.u.
**E_tot**: -73.671 eV for the cell shown
**Total magnetic moment**: 0.271 μB per atom



Entry from Alexandria: a relaxed structure of CeTmPb (PBE).

Geometry as POSCAR:
```
CeTmPb
1.0
4.395 0.000 0.000
0.000 4.395 0.000
0.000 0.000 17.620
Ce Tm Pb
4 4 4
direct
0.000 0.500 0.000
0.000 0.500 0.500
0.500 0.000 0.000
0.500 0.000 0.500
0.000 0.000 0.176
0.000 0.000 0.824
0.500 0.500 0.324
0.500 0.500 0.676
0.000 0.000 0.355
0.000 0.000 0.645
0.500 0.500 0.145
0.500 0.500 0.855
```

Calculated values
**D(E_F)**: 4.8 states/eV/f.u.
**E_tot**: -61.183 eV for the cell shown
**Total magnetic moment**: 0.168 μB per atom



Entry from Alexandria: a relaxed structure of NaBiTe2N (PBE).

Geometry as POSCAR:
```
NaBiTe2N
1.0
5.690 0.000 0.000
0.000 5.690 0.000
0.000 0.000 4.323
Na Bi Te N
1 1 2 1
direct
0.000 0.000 0.000
0.500 0.500 0.500
0.000 0.500 0.000
0.500 0.000 0.000
0.000 0.000 0.500
```

Calculated values
**D(E_F)**: 2.8 states/eV/f.u.
**Polymorph energy (0 for the lowest one)**: 365 meV/atom
**Total magnetic moment**: 0.569 μB per atom



Entry from Alexandria: a relaxed structure of LiHf3Tl3Te8 (PBE).

Geometry as POSCAR:
```
LiHf3Tl3Te8
1.0
7.212 -4.167 0.000
7.212 4.167 0.000
-4.805 0.000 8.208
Li Hf Tl Te
1 3 3 8
direct
0.000 0.000 0.000
0.000 0.500 0.000
0.500 0.000 0.000
0.500 0.500 0.000
0.000 0.000 0.500
0.000 0.500 0.500
0.500 0.000 0.500
0.238 0.238 0.200
0.238 0.724 0.200
0.265 0.265 0.794
0.276 0.762 0.800
0.724 0.238 0.200
0.735 0.735 0.206
0.762 0.276 0.800
0.762 0.762 0.800
```

Calculated values
**D(E_F)**: 1.0 states/eV/f.u.
**E_tot**: -73.468 eV for the cell shown
**Total magnetic moment**: 0.000 μB per atom



Entry from Alexandria: a relaxed structure of Tl2FeIr (PBE).

Geometry as POSCAR:
```
Tl2FeIr
1.0
3.196 0.000 0.000
0.000 3.196 0.000
0.000 0.000 7.188
Tl Fe Ir
2 1 1
direct
0.000 0.000 0.248
0.000 0.000 0.752
0.500 0.500 0.000
0.500 0.500 0.500
```

Calculated values
**D(E_F)**: 2.9 states/eV/f.u.
**Polymorph energy (0 for the lowest one)**: 302 meV/atom
**Total magnetic moment**: 0.596 μB per atom



Entry from Alexandria: a relaxed structure of TlCoTc2 (PBE).

Geometry as POSCAR:
```
TlCoTc2
1.0
4.015 0.000 0.000
0.000 4.034 0.000
0.000 0.000 7.606
Tl Co Tc
2 2 4
direct
0.000 0.000 0.000
0.500 0.500 0.500
0.000 0.500 0.750
0.500 0.000 0.250
0.000 0.000 0.503
0.000 0.500 0.249
0.500 0.000 0.749
0.500 0.500 0.003
```

Calculated values
**D(E_F)**: 5.4 states/eV/f.u.
**Polymorph energy (0 for the lowest one)**: 176 meV/atom
**Total magnetic moment**: 0.456 μB per atom



Entry from Alexandria: a relaxed structure of Mg2PW (PBE).

Geometry as POSCAR:
```
Mg2PW
1.0
4.948 0.000 0.000
0.000 4.948 0.000
0.000 0.000 2.813
Mg P W
2 1 1
direct
0.000 0.500 0.000
0.500 0.000 0.000
0.000 0.000 0.500
0.500 0.500 0.500
```

Calculated values
**D(E_F)**: 2.8 states/eV/f.u.
**E_tot**: -19.516 eV for the cell shown
**Total magnetic moment**: 0.000 μB per atom



Entry from Alexandria: a relaxed structure of BaTa2 (PBE).

Geometry as POSCAR:
```
BaTa2
1.0
5.124 0.000 0.000
0.000 5.124 0.000
0.000 0.000 3.180
Ba Ta
1 2
direct
0.000 0.000 0.000
0.000 0.500 0.500
0.500 0.000 0.500
```

Calculated values
**D(E_F)**: 5.1 states/eV/f.u.
**Polymorph energy (0 for the lowest one)**: 2141 meV/atom
**Total magnetic moment**: 0.000 μB per atom



Entry from Alexandria: a relaxed structure of ErZrBeCo (PBE).

Geometry as POSCAR:
```
ErZrBeCo
1.0
6.525 0.000 0.000
0.000 6.525 0.000
0.000 0.000 6.525
Er Zr Be Co
4 4 4 4
direct
0.000 0.000 0.000
0.000 0.500 0.500
0.500 0.000 0.500
0.500 0.500 0.000
0.000 0.000 0.500
0.000 0.500 0.000
0.500 0.000 0.000
0.500 0.500 0.500
0.250 0.250 0.250
0.250 0.750 0.750
0.750 0.250 0.750
0.750 0.750 0.250
0.250 0.250 0.750
0.250 0.750 0.250
0.750 0.250 0.250
0.750 0.750 0.750
```

Calculated values
**D(E_F)**: 3.1 states/eV/f.u.
**E_tot**: -96.700 eV for the cell shown
**Total magnetic moment**: 0.120 μB per atom



Entry from Alexandria: a relaxed structure of BaLiGaN2 (PBE).

Geometry as POSCAR:
```
BaLiGaN2
1.0
5.517 -1.759 0.000
5.517 1.759 0.000
-1.263 0.000 7.650
Ba Li Ga N
2 2 2 4
direct
0.157 0.157 0.165
0.843 0.843 0.835
0.184 0.184 0.547
0.816 0.816 0.453
0.446 0.446 0.334
0.554 0.554 0.666
0.119 0.119 0.792
0.378 0.378 0.570
0.622 0.622 0.430
0.881 0.881 0.208
```

Calculated values
**E_tot**: -51.635 eV for the cell shown
**Total magnetic moment**: 0.000 μB per atom



Entry from Alexandria: a relaxed structure of CoPdPbCl6 (PBE).

Geometry as POSCAR:
```
CoPdPbCl6
1.0
3.222 -5.626 0.000
3.222 5.626 0.000
-0.030 0.000 6.251
Co Pd Pb Cl
1 1 1 6
direct
0.000 0.000 0.000
0.333 0.667 0.000
0.667 0.333 0.500
0.028 0.320 0.223
0.031 0.708 0.774
0.292 0.969 0.226
0.298 0.321 0.777
0.679 0.702 0.223
0.680 0.972 0.777
```

Calculated values
**D(E_F)**: 3.4 states/eV/f.u.
**E_tot**: -32.796 eV for the cell shown
**Total magnetic moment**: 0.557 μB per atom



Entry from Alexandria: a relaxed structure of Tb2PmSm6Y3 (PBE).

Geometry as POSCAR:
```
Tb2PmSm6Y3
1.0
3.126 -5.413 0.000
3.126 5.413 0.000
-2.078 0.000 11.738
Tb Pm Sm Y
2 1 6 3
direct
0.167 0.833 0.000
0.833 0.167 0.000
0.500 0.500 0.000
0.082 0.416 0.749
0.250 0.250 0.250
0.416 0.082 0.749
0.584 0.918 0.251
0.750 0.750 0.750
0.918 0.584 0.251
0.000 0.000 0.500
0.333 0.667 0.500
0.667 0.333 0.500
```

Calculated values
**D(E_F)**: 15.6 states/eV/f.u.
**E_tot**: -61.562 eV for the cell shown
**Total magnetic moment**: 0.000 μB per atom



Entry from Alexandria: a relaxed structure of PmGe4Os2 (PBE).

Geometry as POSCAR:
```
PmGe4Os2
1.0
-3.886 3.886 4.100
3.886 -3.886 4.100
3.886 3.886 -4.100
Pm Ge Os
2 8 4
direct
0.000 0.000 0.000
0.750 0.250 0.500
0.007 0.448 0.271
0.178 0.736 0.729
0.198 0.257 0.771
0.264 0.993 0.442
0.486 0.428 0.229
0.552 0.822 0.558
0.572 0.802 0.058
0.743 0.514 0.942
0.199 0.625 0.074
0.375 0.449 0.574
0.551 0.125 0.926
0.875 0.801 0.426
```

Calculated values
**D(E_F)**: 3.1 states/eV/f.u.
**Polymorph energy (0 for the lowest one)**: 215 meV/atom
**Total magnetic moment**: 0.000 μB per atom



Entry from Alexandria: a relaxed structure of MgBe2Pt (PBE).

Geometry as POSCAR:
```
MgBe2Pt
1.0
4.098 0.000 0.000
0.000 4.098 0.000
0.000 0.000 15.647
Mg Be Pt
4 8 4
direct
0.000 0.250 0.375
0.000 0.750 0.625
0.500 0.250 0.125
0.500 0.750 0.875
0.000 0.000 0.000
0.000 0.500 0.000
0.250 0.250 0.750
0.250 0.750 0.250
0.500 0.000 0.500
0.500 0.500 0.500
0.750 0.250 0.750
0.750 0.750 0.250
0.000 0.250 0.875
0.000 0.750 0.125
0.500 0.250 0.625
0.500 0.750 0.375
```

Calculated values
**D(E_F)**: 1.6 states/eV/f.u.
**E_tot**: -61.684 eV for the cell shown
**Total magnetic moment**: 0.000 μB per atom



Entry from Alexandria: a relaxed structure of KMgTl2Ni (PBE).

Geometry as POSCAR:
```
KMgTl2Ni
1.0
5.177 0.000 0.000
0.000 5.177 0.000
0.000 0.000 5.102
K Mg Tl Ni
1 1 2 1
direct
0.000 0.000 0.000
0.500 0.500 0.000
0.000 0.500 0.500
0.500 0.000 0.500
0.500 0.500 0.500
```

Calculated values
**D(E_F)**: 3.0 states/eV/f.u.
**E_tot**: -13.180 eV for the cell shown
**Total magnetic moment**: 0.000 μB per atom



Entry from Alexandria: a relaxed structure of ReOsPt2 (PBE).

Geometry as POSCAR:
```
ReOsPt2
1.0
5.460 0.000 0.000
0.000 8.008 0.000
0.000 0.000 2.747
Re Os Pt
2 2 4
direct
0.000 0.000 0.000
0.500 0.500 0.000
0.000 0.500 0.000
0.500 0.000 0.000
0.250 0.250 0.500
0.250 0.750 0.500
0.750 0.250 0.500
0.750 0.750 0.500
```

Calculated values
**D(E_F)**: 4.3 states/eV/f.u.
**Polymorph energy (0 for the lowest one)**: 223 meV/atom
**Total magnetic moment**: 0.000 μB per atom



Entry from Alexandria: a relaxed structure of TaSe2Br (PBE).

Geometry as POSCAR:
```
TaSe2Br
1.0
3.585 0.000 0.000
-1.792 3.105 0.000
0.000 0.000 26.108
Ta Se Br
3 6 3
direct
0.000 0.000 0.000
0.333 0.667 0.667
0.667 0.333 0.333
0.000 0.000 0.395
0.000 0.000 0.605
0.333 0.667 0.062
0.333 0.667 0.272
0.667 0.333 0.728
0.667 0.333 0.938
0.000 0.000 0.500
0.333 0.667 0.167
0.667 0.333 0.833
```

Calculated values
**D(E_F)**: 1.2 states/eV/f.u.
**Polymorph energy (0 for the lowest one)**: 231 meV/atom
**Total magnetic moment**: 0.000 μB per atom